Compound: MgZn2PtSe
Source: the Alexandria database
Functional: PBE
Structure: relaxed

For the spin magnetization, the calculation gives 0.00 μB per cell. The density of states at the Fermi level comes out at 1.57 states/eV per cell. Its raw formation energy is 8.59 kcal/mol of atoms.

The space group is P4/mmm (No. 123) and the conventional cell measures 4.901, 4.901 and 4.869 Å, with angles of 90.00, 90.00 and 90.00 degrees. The inequivalent atoms are Mg at (0.000, 0.000, 0.000), Zn at (0.000, 0.500, 0.500), Pt at (0.500, 0.500, 0.000) and Se at (0.500, 0.500, 0.500).